LaPmDy3Y | GGA-PBE | optimized geometry

POSCAR file:
```
LaPmDy3Y
1.0
-0.912 -0.401 -5.607
-6.400 -6.758 4.417
-4.963 5.072 0.445
Y La Dy Pm
2 2 6 2
direct
0.350 0.699 0.542
0.650 0.301 0.458
0.645 0.290 0.029
0.355 0.710 0.971
0.836 0.672 0.271
0.477 0.955 0.263
0.220 0.440 0.241
0.164 0.328 0.729
0.523 0.045 0.737
0.780 0.560 0.759
0.052 0.104 0.265
0.948 0.896 0.735
```

Summary:
The formation energy comes out at 196 meV per atom. As for the density of states at the Fermi level: 10.10 states/eV/f.u. Its space group is C2/m. The value obtained for the spin magnetization is 0.00 μB per formula unit.